# CsRe3H | the Alexandria database | GGA-PBEsol | optimized geometry
# DFT total energy, eV/atom: -3.9722
# Crystal system: cubic
data_CsRe3H
_chemical_formula_sum 'Cs1 Re3 H1'
_symmetry_space_group_name_H-M 'P m -3 m'
_symmetry_Int_Tables_number 221
_symmetry_space_group_name_Hall '-P 4 2 3'
_cell_length_a 4.8810
_cell_length_b 4.8810
_cell_length_c 4.8810
_cell_angle_alpha 90.00
_cell_angle_beta 90.00
_cell_angle_gamma 90.00
loop_
_atom_site_label
_atom_site_type_symbol
_atom_site_fract_x
_atom_site_fract_y
_atom_site_fract_z
_atom_site_occupancy
Cs1 Cs 0.0000 0.0000 0.0000 1
Re1 Re 0.0000 0.0000 0.5000 1
H1 H 0.5000 0.5000 0.5000 1


# CsH2Rh | the Alexandria database | GGA-PBEsol | optimized geometry
# DFT total energy, eV/atom: -2.7020
# Crystal system: cubic
data_CsH2Rh
_chemical_formula_sum 'Cs4 H8 Rh4'
_symmetry_space_group_name_H-M 'F m -3 m'
_symmetry_Int_Tables_number 225
_symmetry_space_group_name_Hall '-F 4 2 3'
_cell_length_a 6.1577
_cell_length_b 6.1577
_cell_length_c 6.1577
_cell_angle_alpha 90.00
_cell_angle_beta 90.00
_cell_angle_gamma 90.00
loop_
_atom_site_label
_atom_site_type_symbol
_atom_site_fract_x
_atom_site_fract_y
_atom_site_fract_z
_atom_site_occupancy
Cs1 Cs 0.0000 0.0000 0.0000 1
H1 H 0.2500 0.2500 0.2500 1
Rh1 Rh 0.0000 0.0000 0.5000 1


# Cs2HRu2 | the Alexandria database | GGA-PBEsol | optimized geometry
# DFT total energy, eV/atom: -3.6613
# Crystal system: tetragonal
data_Cs2HRu2
_chemical_formula_sum 'Cs4 H2 Ru4'
_symmetry_space_group_name_H-M 'I 4/m m m'
_symmetry_Int_Tables_number 139
_symmetry_space_group_name_Hall '-I 4 2'
_cell_length_a 6.1961
_cell_length_b 6.1961
_cell_length_c 6.4911
_cell_angle_alpha 90.00
_cell_angle_beta 90.00
_cell_angle_gamma 90.00
loop_
_atom_site_label
_atom_site_type_symbol
_atom_site_fract_x
_atom_site_fract_y
_atom_site_fract_z
_atom_site_occupancy
Cs1 Cs 0.0000 0.5000 0.2500 1
H1 H 0.0000 0.0000 0.0000 1
Ru1 Ru 0.0000 0.0000 0.3307 1


# Cs3HS | the Alexandria database | GGA-PBEsol | optimized geometry
# DFT total energy, eV/atom: -2.6946
# Crystal system: cubic
data_Cs3HS
_chemical_formula_sum 'Cs3 H1 S1'
_symmetry_space_group_name_H-M 'P m -3 m'
_symmetry_Int_Tables_number 221
_symmetry_space_group_name_Hall '-P 4 2 3'
_cell_length_a 5.4987
_cell_length_b 5.4987
_cell_length_c 5.4987
_cell_angle_alpha 90.00
_cell_angle_beta 90.00
_cell_angle_gamma 90.00
loop_
_atom_site_label
_atom_site_type_symbol
_atom_site_fract_x
_atom_site_fract_y
_atom_site_fract_z
_atom_site_occupancy
Cs1 Cs 0.0000 0.0000 0.5000 1
H1 H 0.0000 0.0000 0.0000 1
S1 S 0.5000 0.5000 0.5000 1


# CsHSe2 | the Alexandria database | GGA-PBEsol | optimized geometry
# DFT total energy, eV/atom: -2.1998
# Crystal system: cubic
data_CsHSe2
_chemical_formula_sum 'Cs4 H4 Se8'
_symmetry_space_group_name_H-M 'F m -3 m'
_symmetry_Int_Tables_number 225
_symmetry_space_group_name_Hall '-F 4 2 3'
_cell_length_a 7.6807
_cell_length_b 7.6807
_cell_length_c 7.6807
_cell_angle_alpha 90.00
_cell_angle_beta 90.00
_cell_angle_gamma 90.00
loop_
_atom_site_label
_atom_site_type_symbol
_atom_site_fract_x
_atom_site_fract_y
_atom_site_fract_z
_atom_site_occupancy
Cs1 Cs 0.0000 0.0000 0.0000 1
H1 H 0.0000 0.0000 0.5000 1
Se1 Se 0.2500 0.2500 0.2500 1


# Cs3HSe | the Alexandria database | GGA-PBEsol | optimized geometry
# DFT total energy, eV/atom: -2.6578
# Crystal system: cubic
data_Cs3HSe
_chemical_formula_sum 'Cs3 H1 Se1'
_symmetry_space_group_name_H-M 'P m -3 m'
_symmetry_Int_Tables_number 221
_symmetry_space_group_name_Hall '-P 4 2 3'
_cell_length_a 5.5904
_cell_length_b 5.5904
_cell_length_c 5.5904
_cell_angle_alpha 90.00
_cell_angle_beta 90.00
_cell_angle_gamma 90.00
loop_
_atom_site_label
_atom_site_type_symbol
_atom_site_fract_x
_atom_site_fract_y
_atom_site_fract_z
_atom_site_occupancy
Cs1 Cs 0.0000 0.0000 0.5000 1
H1 H 0.0000 0.0000 0.0000 1
Se1 Se 0.5000 0.5000 0.5000 1